The following is a PBE calculation of a relaxed structure of NaScBr2, from Alexandria.

The structure belongs to space group I-42d (No. 122); the cell edges are 6.9192, 6.9192 and 11.0350 Å and the angles 90.00°, 90.00° and 90.00°. The inequivalent atoms are Na at (0.0000, 0.0000, 0.0000), Sc at (0.0000, 0.0000, 0.5000) and Br at (0.2362, 0.2500, 0.6250).

For the total energy, the calculation gives -3.610 eV/atom. The distance to the lowest polymorph of the same formula is 229 meV per atom. Its total magnetization is 7.38 μB/cell. The value obtained for the formation energy without anion corrections is -3.45 eV/f.u.